Entry 1:
First-principles (PBE) data for InCoSe2 after structural relaxation, as listed in the Alexandria database.

abc: 9.433 3.526 5.976
angles: 90.00 113.02 90.00
Fractional coordinates of all 8 atoms:
1 In 0.000 0.000 0.000
2 In 0.500 0.500 0.000
3 Co 0.269 0.000 0.012
4 Co 0.769 0.500 0.012
5 Se 0.187 0.500 0.726
6 Se 0.341 0.500 0.297
7 Se 0.687 0.000 0.726
8 Se 0.841 0.000 0.297

## Properties
crystal system: monoclinic
DFT total energy: -4.37 eV per atom

---

Entry 2:
First-principles (PBE) data for InCoSe2 after structural relaxation, as listed in the Alexandria database.

abc: 3.738 3.738 14.379
angles: 90.00 90.00 90.00
Fractional coordinates of all 8 atoms:
1 In 0.000 0.000 0.000
2 In 0.500 0.500 0.500
3 Co 0.000 0.500 0.250
4 Co 0.500 0.000 0.750
5 Se 0.000 0.000 0.500
6 Se 0.000 0.500 0.750
7 Se 0.500 0.000 0.250
8 Se 0.500 0.500 0.000

## Properties
crystal system: tetragonal
DFT total energy: -3.94 eV per atom